1.
A geometry-optimized TbPu2Te4 structure, computed with PBE.

a b c (Å): 4.422 8.483 7.790
angles (deg): 63.57 89.98 74.87
Sites, in units of the cell vectors:
Tb: 0.000 0.000 0.000
Pu: 0.736 0.527 0.727
Pu: 0.264 0.473 0.273
Te: 0.880 0.241 0.560
Te: 0.120 0.759 0.440
Te: 0.630 0.740 0.979
Te: 0.370 0.260 0.021

Output
Its symmetry is C2/m, No. 12. The calculation puts the formation energy from raw total energies at -1131 meV per atom. The calculated density is 7.7 g cm⁻³. Its total magnetization is 11.01 μB per formula unit.

***

2.
A geometry-optimized Tb3Pu4Te8 structure, computed with PBE.

a b c (Å): 8.810 8.801 8.801
angles (deg): 89.83 120.21 120.21
Sites, in units of the cell vectors:
Tb: 0.500 0.500 0.000
Tb: 0.500 0.000 0.500
Tb: 0.500 0.500 0.500
Pu: 0.500 0.000 0.000
Pu: 0.000 0.500 0.000
Pu: 0.000 0.000 0.000
Pu: 0.000 0.000 0.500
Te: 0.513 0.259 0.259
Te: 0.000 0.744 0.256
Te: 0.003 0.257 0.257
Te: 0.500 0.749 0.251
Te: 0.500 0.251 0.749
Te: 0.997 0.743 0.743
Te: 0.000 0.256 0.744
Te: 0.487 0.741 0.741

Output
Its symmetry is C2/m, No. 12. The calculation puts the formation energy from raw total energies at -1207 meV per atom. The calculated density is 8.6 g cm⁻³. Its total magnetization is 11.79 μB per formula unit.

***

no.,uncorrected energy (eV for the cell shown)
1,-53.775
2,-114.461